# 1
Entry from Alexandria via LeMat-Bulk: a relaxed Sr16Li12Ag crystal (PBE-GGA).

Cell lengths 11.0234, 11.0234, 12.4651 Å; angles 111.42, 111.42, 106.48 degrees
Fractional positions:
Li (0.1829, 0.8072, 0.8467)
Li (0.9996, 0.1912, 0.3102)
Li (0.1636, 0.3534, 0.0133)
Li (0.3871, 0.9980, 0.1786)
Li (0.8147, 0.6359, 0.6598)
Li (0.6170, 0.6170, 0.7967)
Li (0.3534, 0.1636, 0.0133)
Li (0.8072, 0.1829, 0.8467)
Li (0.6359, 0.8147, 0.6598)
Li (0.9980, 0.3871, 0.1786)
Li (0.1912, 0.9996, 0.3102)
Li (0.8127, 0.8127, 0.1113)
Sr (0.3802, 0.9943, 0.6933)
Sr (0.3879, 0.3879, 0.3537)
Sr (0.7500, 0.3712, 0.3482)
Sr (0.4051, 0.6343, 0.9979)
Sr (0.2558, 0.2558, 0.6160)
Sr (0.9943, 0.3802, 0.6933)
Sr (0.6343, 0.4051, 0.9979)
Sr (0.9946, 0.9946, 0.6968)
Sr (0.7431, 0.9794, 0.3627)
Sr (0.6264, 0.0002, 0.0032)
Sr (0.2371, 0.5891, 0.5812)
Sr (0.0038, 0.0038, 0.0109)
Sr (0.5891, 0.2371, 0.5812)
Sr (0.0002, 0.6264, 0.0032)
Sr (0.3712, 0.7500, 0.3482)
Sr (0.9794, 0.7431, 0.3627)
Ag (0.6842, 0.6842, 0.4239)

Total moment   0.00 μB/cell
Calculated density   2299 kg/m3
Formation enthalpy at 0 K   39 meV/atom
Density of states at the Fermi level   21.69 states/eV per cell

=====

# 2
Entry from Alexandria via LeMat-Bulk: a relaxed Sr2Li6Ag crystal (PBE-GGA).

Cell lengths 6.0075, 6.4658, 6.8387 Å; angles 93.41, 90.00, 117.68 degrees
Fractional positions:
Li (0.1709, 0.8581, 0.3288)
Li (0.6871, 0.8581, 0.3288)
Li (0.8291, 0.1419, 0.6712)
Li (0.3129, 0.1419, 0.6712)
Li (0.1924, 0.3848, 0.3636)
Li (0.8076, 0.6152, 0.6364)
Ag (0.0000, 0.0000, 0.0000)
Sr (0.3348, 0.6696, 0.8707)
Sr (0.6652, 0.3304, 0.1293)

Total moment   0.00 μB/cell
Calculated density   2298 kg/m3
Formation enthalpy at 0 K   -31 meV/atom
Density of states at the Fermi level   4.82 states/eV per cell

=====

# 3
Entry from Alexandria via LeMat-Bulk: a relaxed SrLi14Ag crystal (PBE-GGA).

Cell lengths 6.4825, 6.4825, 10.0036 Å; angles 90.00, 90.00, 123.58 degrees
Fractional positions:
Li (0.2270, 0.2773, 0.0000)
Li (0.5061, 0.9865, 0.5000)
Li (0.8615, 0.1385, 0.7871)
Li (0.7067, 0.2933, 0.0000)
Li (0.3912, 0.1268, 0.7568)
Li (0.3912, 0.1268, 0.2432)
Li (0.7227, 0.7730, 0.0000)
Li (0.8732, 0.6088, 0.2432)
Li (0.2330, 0.7670, 0.0000)
Li (0.3896, 0.6104, 0.2758)
Li (0.8615, 0.1385, 0.2129)
Li (0.0135, 0.4939, 0.5000)
Li (0.8732, 0.6088, 0.7568)
Li (0.3896, 0.6104, 0.7242)
Sr (0.0021, 0.9979, 0.5000)
Ag (0.5580, 0.4420, 0.5000)

Total moment   0.00 μB/cell
Calculated density   1388 kg/m3
Formation enthalpy at 0 K   10 meV/atom
Density of states at the Fermi level   6.30 states/eV per cell

=====

# 4
Entry from Alexandria via LeMat-Bulk: a relaxed SrLi3Ag9 crystal (PBE-GGA).

Cell lengths 5.2808, 7.2263, 7.3450 Å; angles 82.78, 68.93, 69.54 degrees
Fractional positions:
Ag (0.6491, 0.3508, 0.3567)
Ag (0.3509, 0.6492, 0.6433)
Ag (0.4890, 0.7825, 0.2285)
Ag (0.0000, 0.5000, 0.0000)
Ag (0.0058, 0.3508, 0.6433)
Ag (0.5110, 0.2175, 0.7715)
Ag (0.9942, 0.6492, 0.3567)
Ag (0.2825, 0.2175, 0.2285)
Ag (0.7175, 0.7825, 0.7715)
Sr (0.0000, 0.0000, 0.0000)
Li (0.5000, 0.0000, 0.5000)
Li (0.5000, 0.5000, 0.0000)
Li (0.0000, 0.0000, 0.5000)

Total moment   0.00 μB/cell
Calculated density   7313 kg/m3
Formation enthalpy at 0 K   -156 meV/atom
Density of states at the Fermi level   3.43 states/eV per cell